DySnBi: optimized geometry, PBE.

The distance to the lowest polymorph of the same formula comes out at 76 meV/atom.

CIF file:
```
data_DySnBi
_chemical_formula_sum 'Dy4 Sn4 Bi4'
_cell_length_a 7.3893
_cell_length_b 7.3893
_cell_length_c 7.3893
_cell_angle_alpha 90.00
_cell_angle_beta 90.00
_cell_angle_gamma 90.00
_symmetry_space_group_name_H-M 'F -4 3 m'
_symmetry_Int_Tables_number 216
_symmetry_space_group_name_Hall 'F -4 2 3'
loop_
_atom_site_label
_atom_site_fract_x
_atom_site_fract_y
_atom_site_fract_z
Dy1 0.0000 0.0000 0.0000
Sn1 0.2500 0.2500 0.7500
Bi1 0.0000 0.0000 0.5000
```

DySnBi: optimized geometry, PBE.

The distance to the lowest polymorph of the same formula comes out at 0 meV/atom.

CIF file:
```
data_DySnBi
_chemical_formula_sum 'Dy4 Sn4 Bi4'
_cell_length_a 7.3803
_cell_length_b 7.3803
_cell_length_c 7.3803
_cell_angle_alpha 90.00
_cell_angle_beta 90.00
_cell_angle_gamma 90.00
_symmetry_space_group_name_H-M 'F -4 3 m'
_symmetry_Int_Tables_number 216
_symmetry_space_group_name_Hall 'F -4 2 3'
loop_
_atom_site_label
_atom_site_fract_x
_atom_site_fract_y
_atom_site_fract_z
Dy1 0.0000 0.0000 0.0000
Sn1 0.2500 0.2500 0.2500
Bi1 0.2500 0.2500 0.7500
```